NbIr2Ru | PBE | optimized geometry

Calculated values
The crystal system is tetragonal. The energy relative to the elements comes out at 0.9 eV/f.u. The calculation puts the density at 14.482 g cm⁻³. The electronic total energy comes out at -9.036 eV per atom. Its spin magnetization is 0.000 μB/atom. The density of states at the Fermi level comes out at 9.63 states/eV/cell.

Lattice parameters (Å, degrees): 9.478 9.478 9.478 156.74 156.74 33.13
Fractional positions:
Nb (0.000, 0.000, 0.000)
Nb (0.750, 0.250, 0.500)
Ir (0.142, 0.625, 0.017)
Ir (0.375, 0.392, 0.517)
Ir (0.608, 0.125, 0.983)
Ir (0.875, 0.858, 0.483)
Ru (0.250, 0.750, 0.500)
Ru (0.500, 0.500, 0.000)